1.
The following is a GGA-PBE calculation of ZrZn2Re after structural relaxation, from Alexandria.

The distance to the lowest polymorph of the same formula comes out at 274.5 meV/atom. For the density of states at the Fermi level, the calculation gives 0.972 states/eV/atom. The formation energy from the elements comes out at 0.19 eV per atom.

The structure belongs to space group R3m (No. 160, hexagonal axes); the cell edges are 2.8441, 2.8441 and 28.6613 Å and the angles 90.00°, 90.00° and 120.00°. The inequivalent atoms are Zr at (0.0000, 0.0000, 0.0000), Zn at (0.0000, 0.0000, 0.2452), Zn at (0.0000, 0.0000, 0.4995) and Re at (0.0000, 0.0000, 0.7563).

---

2.
The following is a GGA-PBE calculation of ZrZn2Re after structural relaxation, from Alexandria.

The distance to the lowest polymorph of the same formula comes out at 183.6 meV/atom. For the density of states at the Fermi level, the calculation gives 0.989 states/eV/atom. The formation energy from the elements comes out at 0.10 eV per atom.

The structure belongs to space group P4/mmm (No. 123); the cell edges are 3.388, 3.388 and 5.667 Å and the angles 90.00°, 90.00° and 90.00°. The inequivalent atoms are Zr at (0.000, 0.000, 0.000), Zn at (0.500, 0.500, 0.277) and Re at (0.000, 0.000, 0.500).

---

3.
The following is a GGA-PBE calculation of ZrZn2Re after structural relaxation, from Alexandria.

The distance to the lowest polymorph of the same formula comes out at 233.2 meV/atom. For the density of states at the Fermi level, the calculation gives 0.848 states/eV/atom. The formation energy from the elements comes out at 0.15 eV per atom.

The structure belongs to space group P4/mmm (No. 123); the cell edges are 2.778, 2.778 and 8.448 Å and the angles 90.00°, 90.00° and 90.00°. The inequivalent atoms are Zr at (0.000, 0.000, 0.000), Zn at (0.500, 0.500, 0.268) and Re at (0.000, 0.000, 0.500).

---

4.
The following is a GGA-PBE calculation of ZrZn2Re after structural relaxation, from Alexandria.

The distance to the lowest polymorph of the same formula comes out at 0.0 meV/atom. For the density of states at the Fermi level, the calculation gives 0.403 states/eV/atom. The formation energy from the elements comes out at -0.08 eV per atom.

The structure belongs to space group I4/mmm (No. 139); the cell edges are 3.966, 3.966 and 8.227 Å and the angles 90.00°, 90.00° and 90.00°. The inequivalent atoms are Zr at (0.000, 0.000, 0.000), Zn at (0.000, 0.500, 0.250) and Re at (0.000, 0.000, 0.500).

---

5.
The following is a GGA-PBE calculation of Zr6ZnRe after structural relaxation, from Alexandria.

For the density of states at the Fermi level, the calculation gives 0.734 states/eV/atom. The formation energy from the elements comes out at -0.13 eV per atom.

The structure belongs to space group I4/mmm (No. 139); the cell edges are 4.656, 4.656 and 15.337 Å and the angles 90.00°, 90.00° and 90.00°. The inequivalent atoms are Zr at (0.000, 0.000, 0.249), Zr at (0.000, 0.500, 0.110), Zn at (0.000, 0.000, 0.500) and Re at (0.000, 0.000, 0.000).

---

6.
The following is a GGA-PBE calculation of ZrZnRe after structural relaxation, from Alexandria.

The distance to the lowest polymorph of the same formula comes out at 1186.3 meV/atom. For the density of states at the Fermi level, the calculation gives 1.174 states/eV/atom. The formation energy from the elements comes out at 0.94 eV per atom.

The structure belongs to space group F-43m (No. 216); the cell edges are 6.315, 6.315 and 6.315 Å and the angles 90.00°, 90.00° and 90.00°. The inequivalent atoms are Zr at (0.000, 0.000, 0.000), Zn at (0.250, 0.250, 0.750) and Re at (0.250, 0.250, 0.250).

---

7.
The following is a GGA-PBE calculation of Zr3ZnRe after structural relaxation, from Alexandria.

The distance to the lowest polymorph of the same formula comes out at 480.7 meV/atom. For the density of states at the Fermi level, the calculation gives 1.319 states/eV/atom. The formation energy from the elements comes out at 1.11 eV per atom.

The structure belongs to space group Pm-3m (No. 221); the cell edges are 4.841, 4.841 and 4.841 Å and the angles 90.00°, 90.00° and 90.00°. The inequivalent atoms are Zr at (0.000, 0.000, 0.500), Zn at (0.000, 0.000, 0.000) and Re at (0.500, 0.500, 0.500).

---

8.
The following is a GGA-PBE calculation of ZrZnRe after structural relaxation, from Alexandria.

The distance to the lowest polymorph of the same formula comes out at 0.0 meV/atom. For the density of states at the Fermi level, the calculation gives 0.861 states/eV/atom. The formation energy from the elements comes out at -0.24 eV per atom.

The structure belongs to space group R-3m (No. 166, hexagonal axes); the cell edges are 5.2232, 5.2232 and 39.5742 Å and the angles 90.00°, 90.00° and 120.00°. The inequivalent atoms are Zr at (0.0000, 0.0000, 0.0419), Zr at (0.0000, 0.0000, 0.1785), Zr at (0.0000, 0.0000, 0.2667), Zn at (0.0038, 0.5019, 0.7778), Re at (0.0000, 0.0000, 0.3887), Re at (0.0000, 0.0000, 0.5000) and Re at (0.0000, 0.5000, 0.0000).

---

9.
The following is a GGA-PBE calculation of ZrZn2Re after structural relaxation, from Alexandria.

The distance to the lowest polymorph of the same formula comes out at 455.3 meV/atom. For the density of states at the Fermi level, the calculation gives 0.629 states/eV/atom. The formation energy from the elements comes out at 0.37 eV per atom.

The structure belongs to space group I-42d (No. 122); the cell edges are 3.865, 3.865 and 19.456 Å and the angles 90.00°, 90.00° and 90.00°. The inequivalent atoms are Zr at (0.000, 0.000, 0.000), Zn at (0.206, 0.250, 0.625) and Re at (0.000, 0.000, 0.500).

---

10.
The following is a GGA-PBE calculation of ZrZn2Re after structural relaxation, from Alexandria.

The distance to the lowest polymorph of the same formula comes out at 165.7 meV/atom. For the density of states at the Fermi level, the calculation gives 0.597 states/eV/atom. The formation energy from the elements comes out at 0.08 eV per atom.

The structure belongs to space group Cmm2 (No. 35); the cell edges are 3.348, 4.482 and 8.841 Å and the angles 90.00°, 90.00° and 90.00°. The inequivalent atoms are Zr at (0.000, 0.000, 0.000), Zn at (0.000, 0.000, 0.506), Zn at (0.000, 0.500, 0.271) and Re at (0.000, 0.500, 0.741).

---

11.
The following is a GGA-PBE calculation of ZrRe3 after structural relaxation, from Alexandria.

The distance to the lowest polymorph of the same formula comes out at 26.0 meV/atom. For the density of states at the Fermi level, the calculation gives 0.860 states/eV/atom. The formation energy from the elements comes out at 0.02 eV per atom.

The structure belongs to space group I4/mmm (No. 139); the cell edges are 4.526, 4.526 and 6.377 Å and the angles 90.00°, 90.00° and 90.00°. The inequivalent atoms are Zr at (0.000, 0.000, 0.000), Re at (0.000, 0.000, 0.500) and Re at (0.000, 0.500, 0.250).

---

12.
The following is a GGA-PBE calculation of ZrRe after structural relaxation, from Alexandria.

For the density of states at the Fermi level, the calculation gives 1.379 states/eV/atom. The formation energy from the elements comes out at 2.25 eV per atom.

The structure belongs to space group Pm-3n (No. 223); the cell edges are 7.424, 7.424 and 7.424 Å and the angles 90.00°, 90.00° and 90.00°. The inequivalent atoms are Zr at (0.000, 0.250, 0.500) and Re at (0.000, 0.500, 0.250).